Arrangement w

Tl2Cd3In | PBE | relaxed

The structure in POSCAR format:
```
Tl2Cd3In
1.0
5.1127 -3.0771 0.0000
5.1127 3.0771 0.0000
-3.6791 0.0000 5.2120
Tl Cd In
2 3 1
Direct
0.1240 0.1240 0.3755
0.8760 0.8760 0.6245
0.0000 0.5000 0.0000
0.5000 0.0000 0.0000
0.5000 0.5000 0.0000
0.5000 0.5000 0.5000
```

- Fermi-level density of states (states/eV/cell) = 2.130
- volume (Å³ per atom) = 27.33

=====

Arrangement x

Tl2Cd3In | PBE | relaxed

The structure in POSCAR format:
```
Tl2Cd3In
1.0
7.2796 -4.2658 0.0000
7.2796 4.2658 0.0000
0.0000 0.0000 5.6662
Tl Cd In
4 6 2
Direct
0.0077 0.3370 0.2500
0.3370 0.0077 0.7500
0.6630 0.9923 0.2500
0.9923 0.6630 0.7500
0.0000 0.0000 0.0000
0.0000 0.0000 0.5000
0.3450 0.3450 0.0000
0.3450 0.3450 0.5000
0.6550 0.6550 0.0000
0.6550 0.6550 0.5000
0.3175 0.6825 0.2500
0.6825 0.3175 0.7500
```

- Fermi-level density of states (states/eV/cell) = 5.311
- volume (Å³ per atom) = 29.33

=====

Relative energies, meV per atom: arrangement w 0; arrangement x 67.

=====

Arrangement w

Tm4CdIn2 | PBE | relaxed

The structure in POSCAR format:
```
Tm4CdIn2
1.0
7.3067 0.0000 0.0000
0.0000 6.5355 0.0000
-3.6026 0.0000 8.1848
Tm Cd In
8 2 4
Direct
0.0332 0.2500 0.2279
0.0522 0.7500 0.4256
0.4028 0.5081 0.7733
0.4028 0.9919 0.7733
0.5972 0.0081 0.2267
0.5972 0.4919 0.2267
0.9478 0.2500 0.5744
0.9668 0.7500 0.7721
0.2197 0.7500 0.1373
0.7803 0.2500 0.8627
0.2084 0.2500 0.9610
0.4717 0.2500 0.4976
0.5283 0.7500 0.5024
0.7916 0.7500 0.0390
```

- Fermi-level density of states (states/eV/cell) = 12.975
- volume (Å³ per atom) = 27.92

=====

Arrangement x

Tm4CdIn2 | PBE | relaxed

The structure in POSCAR format:
```
Tm4CdIn2
1.0
2.5916 1.4963 8.3893
-2.5916 1.4963 8.3893
0.0000 -2.9925 8.3893
Tm Cd In
4 1 2
Direct
0.1198 0.1198 0.1198
0.3720 0.3720 0.3720
0.6280 0.6280 0.6280
0.8802 0.8802 0.8802
0.5000 0.5000 0.5000
0.2492 0.2492 0.2492
0.7508 0.7508 0.7508
```

- Fermi-level density of states (states/eV/cell) = 5.246
- volume (Å³ per atom) = 27.88

=====

Relative energies, meV per atom: arrangement w 79; arrangement x 0.

=====

Arrangement w

Tm2CdIn | PBE | relaxed

The structure in POSCAR format:
```
Tm2CdIn
1.0
1.7990 1.0386 9.7366
-1.7990 1.0386 9.7366
0.0000 -2.0773 9.7366
Tm Cd In
2 1 1
Direct
0.2503 0.2503 0.2503
0.7497 0.7497 0.7497
0.5000 0.5000 0.5000
0.0000 0.0000 0.0000
```

- Fermi-level density of states (states/eV/cell) = 3.283
- volume (Å³ per atom) = 27.29

=====

Arrangement x

Tm2CdIn | PBE | relaxed

The structure in POSCAR format:
```
Tm2CdIn
1.0
0.0000 3.7013 3.7013
3.7013 0.0000 3.7013
3.7013 3.7013 0.0000
Tm Cd In
2 1 1
Direct
0.2500 0.2500 0.2500
0.7500 0.7500 0.7500
0.0000 0.0000 0.0000
0.5000 0.5000 0.5000
```

- Fermi-level density of states (states/eV/cell) = 3.875
- volume (Å³ per atom) = 25.35

=====

Relative energies, meV per atom: arrangement w 143; arrangement x 0.

=====

Arrangement w

TmCd2In | PBE | relaxed

The structure in POSCAR format:
```
TmCd2In
1.0
5.0781 0.0000 0.0000
-2.5390 4.3977 0.0000
0.0000 0.0000 5.7892
Tm Cd In
1 2 1
Direct
0.0000 0.0000 0.0000
0.0000 0.0000 0.5000
0.3333 0.6667 0.5000
0.6667 0.3333 0.5000
```

- Fermi-level density of states (states/eV/cell) = 3.755
- volume (Å³ per atom) = 32.32

=====

Arrangement x

TmCd2In | PBE | relaxed

The structure in POSCAR format:
```
TmCd2In
1.0
3.6501 0.0000 0.0000
0.0000 3.6501 0.0000
0.0000 0.0000 7.4035
Tm Cd In
1 2 1
Direct
0.0000 0.0000 0.0000
0.5000 0.5000 0.2581
0.5000 0.5000 0.7419
0.0000 0.0000 0.5000
```

- Fermi-level density of states (states/eV/cell) = 2.460
- volume (Å³ per atom) = 24.66

=====

Relative energies, meV per atom: arrangement w 603; arrangement x 0.